The following is a PBE calculation of an optimized crystal structure of PbW, from Alexandria via LeMat-Bulk.

Output
As for the density of states at the Fermi level: 0.1766 states/eV/atom. As for the formation energy: 1.172 eV per atom. As for the space group: Fd-3m. The total energy comes out at -7.16 eV/atom. The polymorph energy (0 for the lowest one) comes out at 0.677 eV/atom. As for the mass density: 15.6 g/cm³.

Cell lengths 4.899, 4.899, 4.899 Å; angles 60.00, 60.00, 60.00 degrees
Fractional coordinates of all 4 atoms:
Pb  0.250  0.250  0.250
Pb  0.000  0.000  0.000
W  0.500  0.500  0.500
W  0.750  0.750  0.750